(1)
An optimized crystal structure of Sr2TaBr, computed with PBE.

Results
DOS at the Fermi energy ... 10.60 states/eV/cell

abc: 7.346 7.346 7.346
angles: 107.87 107.87 112.73
Sites, in units of the cell vectors:
Sr: 0.096 0.625 0.971
Sr: 0.375 0.346 0.471
Sr: 0.654 0.125 0.029
Sr: 0.875 0.904 0.529
Ta: 0.250 0.750 0.500
Ta: 0.500 0.500 0.000
Br: 0.000 0.000 0.000
Br: 0.750 0.250 0.500

---

(2)
An optimized crystal structure of Sr2TaBr, computed with PBE.

Results
DOS at the Fermi energy ... 4.05 states/eV/cell

abc: 6.522 6.522 5.787
angles: 90.09 90.09 31.32
Sites, in units of the cell vectors:
Sr: 0.000 0.000 0.000
Sr: 0.737 0.737 0.501
Ta: 0.477 0.477 0.500
Br: 0.262 0.262 0.001

---

Unit: eV/atom. Relative energies: (1) 0.286; (2) 0.000.

---

(1)
An optimized crystal structure of Sr2TaBr, computed with PBE.

Results
DOS at the Fermi energy ... 4.49 states/eV/cell

abc: 5.788 5.788 5.788
angles: 60.00 60.00 60.00
Sites, in units of the cell vectors:
Sr: 0.250 0.250 0.250
Sr: 0.750 0.750 0.750
Ta: 0.000 0.000 0.000
Br: 0.500 0.500 0.500

---

(2)
An optimized crystal structure of Sr2TaBr, computed with PBE.

Results
DOS at the Fermi energy ... 2.76 states/eV/cell

abc: 7.107 7.107 7.107
angles: 141.76 141.76 55.18
Sites, in units of the cell vectors:
Sr: 0.000 0.000 0.000
Sr: 0.750 0.250 0.500
Ta: 0.250 0.750 0.500
Br: 0.500 0.500 0.000

---

Unit: eV/atom. Relative energies: (1) 0.037; (2) 0.000.

---

(1)
An optimized crystal structure of SrTc2Br, computed with PBE.

Results
DOS at the Fermi energy ... 6.36 states/eV/cell

abc: 3.174 3.174 7.964
angles: 90.00 90.00 90.00
Sites, in units of the cell vectors:
Sr: 0.000 0.000 0.000
Tc: 0.500 0.500 0.314
Tc: 0.500 0.500 0.686
Br: 0.000 0.000 0.500

---

(2)
An optimized crystal structure of SrTc2Br, computed with PBE.

Results
DOS at the Fermi energy ... 4.07 states/eV/cell

abc: 3.868 3.868 7.971
angles: 99.12 99.12 57.80
Sites, in units of the cell vectors:
Sr: 0.000 0.000 0.000
Tc: 0.255 0.255 0.582
Tc: 0.618 0.618 0.705
Br: 0.736 0.736 0.289

---

(3)
An optimized crystal structure of SrTc2Br, computed with PBE.

Results
DOS at the Fermi energy ... 3.75 states/eV/cell

abc: 6.444 6.444 3.408
angles: 105.23 105.23 129.55
Sites, in units of the cell vectors:
Sr: 0.000 0.000 0.000
Tc: 0.000 0.500 0.000
Tc: 0.500 0.000 0.000
Br: 0.500 0.500 0.000

---

(4)
An optimized crystal structure of SrTc2Br, computed with PBE.

Results
DOS at the Fermi energy ... 3.62 states/eV/cell

abc: 3.262 3.262 8.257
angles: 90.00 90.00 90.00
Sites, in units of the cell vectors:
Sr: 0.000 0.000 0.000
Tc: 0.000 0.000 0.429
Tc: 0.500 0.500 0.292
Br: 0.500 0.500 0.747

---

Unit: eV/atom. Relative energies: (1) 1.085; (2) 0.000; (3) 0.541; (4) 0.009.

---

(1)
An optimized crystal structure of SrTc2Br, computed with PBE.

Results
DOS at the Fermi energy ... 4.57 states/eV/cell

abc: 3.836 3.836 6.301
angles: 90.00 90.00 90.00
Sites, in units of the cell vectors:
Sr: 0.000 0.000 0.000
Tc: 0.000 0.500 0.500
Tc: 0.500 0.000 0.500
Br: 0.500 0.500 0.000

---

(2)
An optimized crystal structure of SrTc2Br, computed with PBE.

Results
DOS at the Fermi energy ... 4.54 states/eV/cell

abc: 9.628 9.628 9.628
angles: 18.73 18.73 18.73
Sites, in units of the cell vectors:
Sr: 0.000 0.000 0.000
Tc: 0.239 0.239 0.239
Tc: 0.761 0.761 0.761
Br: 0.500 0.500 0.500

---

Unit: eV/atom. Relative energies: (1) 0.000; (2) 0.533.

---

(1)
An optimized crystal structure of SrTc3Br, computed with PBE.

Results
DOS at the Fermi energy ... 5.12 states/eV/cell

abc: 5.327 5.327 5.327
angles: 90.00 90.00 90.00
Sites, in units of the cell vectors:
Sr: 0.000 0.000 0.000
Tc: 0.000 0.000 0.500
Tc: 0.000 0.500 0.000
Tc: 0.500 0.000 0.000
Br: 0.500 0.500 0.500

---

(2)
An optimized crystal structure of SrTc3Br, computed with PBE.

Results
DOS at the Fermi energy ... 6.14 states/eV/cell

abc: 4.710 4.710 4.710
angles: 90.00 90.00 90.00
Sites, in units of the cell vectors:
Sr: 0.000 0.000 0.000
Tc: 0.000 0.500 0.500
Tc: 0.500 0.000 0.500
Tc: 0.500 0.500 0.000
Br: 0.500 0.500 0.500

---

Unit: eV/atom. Relative energies: (1) 1.584; (2) 0.000.

---

(1)
An optimized crystal structure of SrZr2TcBr, computed with PBE.

Results
DOS at the Fermi energy ... 7.06 states/eV/cell

abc: 5.412 5.412 5.321
angles: 90.00 90.00 90.00
Sites, in units of the cell vectors:
Sr: 0.000 0.000 0.000
Zr: 0.000 0.500 0.000
Zr: 0.500 0.000 0.000
Tc: 0.500 0.500 0.500
Br: 0.000 0.000 0.500

---

(2)
An optimized crystal structure of SrZr2TcBr, computed with PBE.

Results
DOS at the Fermi energy ... 3.26 states/eV/cell

abc: 4.897 4.897 6.799
angles: 90.00 90.00 90.00
Sites, in units of the cell vectors:
Sr: 0.000 0.000 0.000
Zr: 0.000 0.500 0.500
Zr: 0.500 0.000 0.500
Tc: 0.000 0.000 0.500
Br: 0.500 0.500 0.000

---

Unit: eV/atom. Relative energies: (1) 1.896; (2) 0.000.

---

(1)
An optimized crystal structure of SrTeBr, computed with PBE.

Results
DOS at the Fermi energy ... 1.25 states/eV/cell

abc: 8.260 8.260 8.260
angles: 153.65 153.65 37.61
Sites, in units of the cell vectors:
Sr: 0.000 0.000 0.000
Te: 0.647 0.647 0.000
Br: 0.393 0.393 0.000

---

(2)
An optimized crystal structure of SrTeBr, computed with PBE.

Results
DOS at the Fermi energy ... 5.14 states/eV/cell

abc: 5.382 5.382 5.382
angles: 60.00 60.00 60.00
Sites, in units of the cell vectors:
Sr: 0.000 0.000 0.000
Te: 0.500 0.500 0.500
Br: 0.250 0.250 0.250

---

Unit: eV/atom. Relative energies: (1) 0.000; (2) 0.389.

---

(1)
An optimized crystal structure of SrTeBr, computed with PBE.

Results
DOS at the Fermi energy ... 1.23 states/eV/cell

abc: 8.582 8.582 6.063
angles: 110.63 110.63 30.02
Sites, in units of the cell vectors:
Sr: 0.142 0.142 0.143
Sr: 0.858 0.858 0.857
Te: 0.500 0.500 0.253
Te: 0.500 0.500 0.747
Br: 0.217 0.217 0.717
Br: 0.783 0.783 0.283

---

(2)
An optimized crystal structure of SrTeBr, computed with PBE.

abc: 5.298 5.298 10.176
angles: 91.86 91.86 57.23
Sites, in units of the cell vectors:
Sr: 0.156 0.156 0.283
Sr: 0.844 0.844 0.717
Te: 0.478 0.478 0.133
Te: 0.522 0.522 0.867
Br: 0.165 0.165 0.604
Br: 0.835 0.835 0.396

---

(3)
An optimized crystal structure of SrTeBr, computed with PBE.

Results
DOS at the Fermi energy ... 3.80 states/eV/cell

abc: 5.470 5.470 5.470
angles: 60.00 60.00 60.00
Sites, in units of the cell vectors:
Sr: 0.000 0.000 0.000
Te: 0.250 0.250 0.250
Br: 0.750 0.750 0.750

---

Unit: eV/atom. Relative energies: (1) 0.000; (2) 0.107; (3) 0.437.